[1]
Crystalline P2OsAuSe at its relaxed geometry. Source: Alexandria via LeMat-Bulk, functional PBE.

Cell and atoms, written as POSCAR:
```
P2OsAuSe
1.0
4.643 0.000 0.000
0.000 4.643 0.000
0.000 0.000 4.797
P Os Au Se
2 1 1 1
Cartesian
0.000 2.321 0.000
2.321 0.000 0.000
0.000 0.000 2.398
2.321 2.321 2.398
2.321 2.321 0.000
```

Results
ΔE_f (raw): 890 kJ/mol of formula units
Space group: P4/mmm
Total moment: 2.1 μB/cell
E: -3.92 eV/atom

***

[2]
Crystalline POs2AuSe at its relaxed geometry. Source: Alexandria via LeMat-Bulk, functional PBE.

Cell and atoms, written as POSCAR:
```
POs2AuSe
1.0
4.560 0.000 0.000
0.000 4.560 0.000
0.000 0.000 4.695
P Os Au Se
1 2 1 1
Cartesian
0.000 0.000 0.000
0.000 2.280 2.347
2.280 0.000 2.347
2.280 2.280 0.000
0.000 0.000 2.347
```

Results
ΔE_f (raw): 865 kJ/mol of formula units
Space group: P4/mmm
Total moment: 0.8 μB/cell
E: -5.13 eV/atom

***

[3]
Crystalline Pa2OsAu at its relaxed geometry. Source: Alexandria via LeMat-Bulk, functional PBE.

Cell and atoms, written as POSCAR:
```
Pa2OsAu
1.0
4.412 0.000 0.000
-2.206 3.821 0.000
0.000 0.000 5.739
Pa Os Au
2 1 1
Cartesian
0.000 2.547 1.606
2.206 1.274 4.132
0.000 0.000 2.869
0.000 0.000 0.000
```

Results
ΔE to the lowest computed polymorph: 0.102 eV/atom
Space group: P-3m1
Total moment: 0.0 μB/cell
E: -8.59 eV/atom

***

[4]
Crystalline Pa2OsAu at its relaxed geometry. Source: Alexandria via LeMat-Bulk, functional PBE.

Cell and atoms, written as POSCAR:
```
Pa2OsAu
1.0
3.136 0.000 0.000
0.000 3.136 0.000
0.000 0.000 8.575
Pa Os Au
2 1 1
Cartesian
0.000 0.000 1.951
0.000 0.000 6.624
1.568 1.568 0.000
1.568 1.568 4.287
```

Results
ΔE to the lowest computed polymorph: 0.000 eV/atom
Space group: P4/mmm
Total moment: 0.0 μB/cell
E: -8.69 eV/atom

***

[5]
Crystalline Pa2OsAu at its relaxed geometry. Source: Alexandria via LeMat-Bulk, functional PBE.

Cell and atoms, written as POSCAR:
```
Pa2OsAu
1.0
0.000 3.514 3.514
3.514 0.000 3.514
3.514 3.514 0.000
Pa Os Au
2 1 1
Cartesian
1.757 1.757 1.757
5.271 5.271 5.271
0.000 0.000 0.000
3.514 3.514 3.514
```

Results
ΔE to the lowest computed polymorph: 0.146 eV/atom
Space group: Fm-3m
Total moment: 0.5 μB/cell
E: -8.55 eV/atom

***

[6]
Crystalline Pa2OsAu at its relaxed geometry. Source: Alexandria via LeMat-Bulk, functional PBE.

Cell and atoms, written as POSCAR:
```
Pa2OsAu
1.0
1.525 0.880 10.736
-1.525 0.880 10.736
0.000 -1.761 10.736
Pa Os Au
2 1 1
Cartesian
0.000 0.000 3.015
0.000 0.000 29.192
0.000 0.000 16.103
0.000 0.000 0.000
```

Results
ΔE to the lowest computed polymorph: 0.523 eV/atom
Space group: R-3m
Total moment: 0.0 μB/cell
E: -8.17 eV/atom

***

[7]
Crystalline PaOs2Au at its relaxed geometry. Source: Alexandria via LeMat-Bulk, functional PBE.

Cell and atoms, written as POSCAR:
```
PaOs2Au
1.0
4.247 0.000 0.000
0.000 4.247 0.000
0.000 0.000 3.924
Pa Os Au
1 2 1
Cartesian
0.000 0.000 0.000
0.000 2.123 1.962
2.123 0.000 1.962
2.123 2.123 0.000
```

Results
Space group: P4/mmm
Total moment: 0.0 μB/cell
E: -8.97 eV/atom

***

[8]
Crystalline Pa2OsAu at its relaxed geometry. Source: Alexandria via LeMat-Bulk, functional PBE.

Cell and atoms, written as POSCAR:
```
Pa2OsAu
1.0
4.449 0.000 0.000
0.000 4.449 0.000
0.000 0.000 4.208
Pa Os Au
2 1 1
Cartesian
0.000 2.225 0.000
2.225 0.000 0.000
0.000 0.000 2.104
2.225 2.225 2.104
```

Results
ΔE to the lowest computed polymorph: 0.156 eV/atom
Space group: P4/mmm
Total moment: 0.0 μB/cell
E: -8.54 eV/atom

***

[9]
Crystalline PmPaOsAu at its relaxed geometry. Source: Alexandria via LeMat-Bulk, functional PBE.

Cell and atoms, written as POSCAR:
```
PmPaOsAu
1.0
0.000 3.551 3.551
3.551 0.000 3.551
3.551 3.551 0.000
Pm Pa Os Au
1 1 1 1
Cartesian
0.000 0.000 0.000
3.551 3.551 3.551
5.326 5.326 5.326
1.775 1.775 1.775
```

Results
Space group: F-43m
Total moment: 0.0 μB/cell
E: -7.40 eV/atom

***

[10]
Crystalline ScPaOsAu at its relaxed geometry. Source: Alexandria via LeMat-Bulk, functional PBE.

Cell and atoms, written as POSCAR:
```
ScPaOsAu
1.0
0.000 3.438 3.438
3.438 0.000 3.438
3.438 3.438 0.000
Sc Pa Os Au
1 1 1 1
Cartesian
0.000 0.000 0.000
3.438 3.438 3.438
5.157 5.157 5.157
1.719 1.719 1.719
```

Results
Space group: F-43m
Total moment: 0.0 μB/cell
E: -7.91 eV/atom

***

[11]
Crystalline ThPaOsAu at its relaxed geometry. Source: Alexandria via LeMat-Bulk, functional PBE.

Cell and atoms, written as POSCAR:
```
ThPaOsAu
1.0
0.000 3.578 3.578
3.578 0.000 3.578
3.578 3.578 0.000
Th Pa Os Au
1 1 1 1
Cartesian
0.000 0.000 0.000
3.578 3.578 3.578
5.367 5.367 5.367
1.789 1.789 1.789
```

Results
Space group: F-43m
Total moment: 0.0 μB/cell
E: -8.09 eV/atom

***

[12]
Crystalline YPaOsAu at its relaxed geometry. Source: Alexandria via LeMat-Bulk, functional PBE.

Cell and atoms, written as POSCAR:
```
YPaOsAu
1.0
0.000 3.520 3.520
3.520 0.000 3.520
3.520 3.520 0.000
Y Pa Os Au
1 1 1 1
Cartesian
0.000 0.000 0.000
3.520 3.520 3.520
1.760 1.760 1.760
5.280 5.280 5.280
```

Results
Space group: F-43m
Total moment: 0.0 μB/cell
E: -7.91 eV/atom

***

[13]
Crystalline OsPb2Au at its relaxed geometry. Source: Alexandria via LeMat-Bulk, functional PBE.

Cell and atoms, written as POSCAR:
```
OsPb2Au
1.0
1.585 0.915 10.600
-1.585 0.915 10.600
0.000 -1.830 10.600
Os Pb Au
1 2 1
Cartesian
0.000 0.000 0.000
0.000 0.000 8.349
0.000 0.000 15.238
0.000 0.000 23.342
```

Results
ΔE to the lowest computed polymorph: 0.099 eV/atom
Space group: R3m
Total moment: 0.2 μB/cell
E: -4.84 eV/atom

***

[14]
Crystalline Os2PbAu at its relaxed geometry. Source: Alexandria via LeMat-Bulk, functional PBE.

Cell and atoms, written as POSCAR:
```
Os2PbAu
1.0
3.308 0.000 0.000
0.000 3.308 0.000
0.000 0.000 6.429
Os Pb Au
2 1 1
Cartesian
0.000 0.000 1.442
0.000 0.000 4.987
1.654 1.654 3.215
1.654 1.654 0.000
```

Results
Space group: P4/mmm
Total moment: 0.0 μB/cell
E: -6.26 eV/atom

***

[15]
Crystalline Os2PbAu at its relaxed geometry. Source: Alexandria via LeMat-Bulk, functional PBE.

Cell and atoms, written as POSCAR:
```
Os2PbAu
1.0
2.933 0.000 0.000
0.000 2.933 0.000
0.000 0.000 8.731
Os Pb Au
2 1 1
Cartesian
0.000 0.000 0.000
1.466 1.466 1.553
0.000 0.000 3.903
1.466 1.466 6.675
```

Results
Space group: P4mm
Total moment: 0.0 μB/cell
E: -6.88 eV/atom

***

[16]
Crystalline Os2PbAu at its relaxed geometry. Source: Alexandria via LeMat-Bulk, functional PBE.

Cell and atoms, written as POSCAR:
```
Os2PbAu
1.0
2.901 0.000 0.000
0.000 4.153 0.000
0.000 0.000 6.125
Os Pb Au
2 1 1
Cartesian
0.000 0.000 1.244
0.000 0.000 4.881
1.451 2.076 3.063
1.451 2.076 0.000
```

Results
Space group: Pmmm
Total moment: 0.0 μB/cell
E: -6.27 eV/atom

***

[17]
Crystalline Os2PbAu at its relaxed geometry. Source: Alexandria via LeMat-Bulk, functional PBE.

Cell and atoms, written as POSCAR:
```
Os2PbAu
1.0
3.002 -3.787 0.000
3.002 3.787 0.000
0.000 0.000 3.033
Os Pb Au
2 1 1
Cartesian
1.501 1.894 0.000
1.501 -1.894 0.000
0.000 0.000 1.516
3.002 0.000 1.516
```

Results
Space group: Cmmm
Total moment: 0.0 μB/cell
E: -6.32 eV/atom

***

[18]
Crystalline OsPb2Au at its relaxed geometry. Source: Alexandria via LeMat-Bulk, functional PBE.

Cell and atoms, written as POSCAR:
```
OsPb2Au
1.0
3.605 -3.609 0.000
3.605 3.609 0.000
-0.136 0.000 3.274
Os Pb Au
1 2 1
Cartesian
0.000 0.000 0.000
1.735 1.805 1.637
1.735 -1.805 1.637
3.605 0.000 0.000
```

Results
ΔE to the lowest computed polymorph: 0.184 eV/atom
Space group: C2/m
Total moment: 0.0 μB/cell
E: -4.76 eV/atom

***

[19]
Crystalline OsPb2Au at its relaxed geometry. Source: Alexandria via LeMat-Bulk, functional PBE.

Cell and atoms, written as POSCAR:
```
OsPb2Au
1.0
0.000 3.522 3.522
3.522 0.000 3.522
3.522 3.522 0.000
Os Pb Au
1 2 1
Cartesian
0.000 0.000 0.000
3.522 3.522 3.522
5.283 5.283 5.283
1.761 1.761 1.761
```

Results
ΔE to the lowest computed polymorph: 0.336 eV/atom
Space group: F-43m
Total moment: 0.0 μB/cell
E: -4.61 eV/atom

***

[20]
Crystalline OsPb2Au at its relaxed geometry. Source: Alexandria via LeMat-Bulk, functional PBE.

Cell and atoms, written as POSCAR:
```
OsPb2Au
1.0
3.439 0.000 0.000
0.000 4.652 0.000
0.000 0.000 5.473
Os Pb Au
1 2 1
Cartesian
0.000 0.000 0.000
0.000 2.326 2.736
1.719 2.326 0.000
1.719 0.000 2.736
```

Results
ΔE to the lowest computed polymorph: 0.323 eV/atom
Space group: Pmmm
Total moment: 0.0 μB/cell
E: -4.62 eV/atom

***

Number 1: theoretical density 8.48 g cm⁻³. Number 2: theoretical density 11.69 g cm⁻³. Number 3: theoretical density 14.58 g cm⁻³. Number 4: theoretical density 16.72 g cm⁻³. Number 5: theoretical density 16.25 g cm⁻³. Number 6: theoretical density 16.31 g cm⁻³. Number 7: theoretical density 18.97 g cm⁻³. Number 8: theoretical density 16.93 g cm⁻³. Number 9: theoretical density 14.15 g cm⁻³. Number 10: theoretical density 13.55 g cm⁻³. Number 11: theoretical density 15.41 g cm⁻³. Number 12: theoretical density 13.46 g cm⁻³. Number 13: theoretical density 14.43 g cm⁻³. Number 14: theoretical density 18.52 g cm⁻³. Number 15: theoretical density 17.35 g cm⁻³. Number 16: theoretical density 17.66 g cm⁻³. Number 17: theoretical density 18.89 g cm⁻³. Number 18: theoretical density 15.62 g cm⁻³. Number 19: theoretical density 15.23 g cm⁻³. Number 20: theoretical density 15.20 g cm⁻³.